[1]
Here is a relaxed structure of KZr3 from Alexandria via LeMat-Bulk. Energies are from PBE.

Cell and atoms, written as CIF:
```
data_KZr3
_chemical_formula_sum 'K4 Zr12'
_symmetry_space_group_name_H-M 'F m -3 m'
_symmetry_Int_Tables_number 225
_symmetry_space_group_name_Hall '-F 4 2 3'
_cell_length_a 7.4959
_cell_length_b 7.4959
_cell_length_c 7.4959
_cell_angle_alpha 90.00
_cell_angle_beta 90.00
_cell_angle_gamma 90.00
loop_
_atom_site_label
_atom_site_type_symbol
_atom_site_fract_x
_atom_site_fract_y
_atom_site_fract_z
_atom_site_occupancy
K1 K 0.0000 0.0000 0.0000 1
Zr1 Zr 0.0000 0.0000 0.5000 1
Zr2 Zr 0.2500 0.2500 0.2500 1
```

---

[2]
# PBE KZr, relaxed
data_KZr
_chemical_formula_sum 'K6 Zr6'
_symmetry_space_group_name_H-M 'P m -3 n'
_symmetry_Int_Tables_number 223
_symmetry_space_group_name_Hall '-P 4n 2 3'
_cell_length_a 10.9371
_cell_length_b 10.9371
_cell_length_c 10.9371
_cell_angle_alpha 90.00
_cell_angle_beta 90.00
_cell_angle_gamma 90.00
loop_
_atom_site_label
_atom_site_type_symbol
_atom_site_fract_x
_atom_site_fract_y
_atom_site_fract_z
_atom_site_occupancy
K1 K 0.0000 0.2500 0.5000 1
Zr1 Zr 0.0000 0.5000 0.2500 1
# - polymorph energy (0 for the lowest one) (meV/atom) = 2158

---

[3]
# PBE KZr, relaxed
data_KZr
_chemical_formula_sum 'K1 Zr1'
_symmetry_space_group_name_H-M 'P 4/m m m'
_symmetry_Int_Tables_number 123
_symmetry_space_group_name_Hall '-P 4 2'
_cell_length_a 3.0687
_cell_length_b 3.0687
_cell_length_c 6.9483
_cell_angle_alpha 90.00
_cell_angle_beta 90.00
_cell_angle_gamma 90.00
loop_
_atom_site_label
_atom_site_type_symbol
_atom_site_fract_x
_atom_site_fract_y
_atom_site_fract_z
_atom_site_occupancy
K1 K 0.0000 0.0000 0.0000 1
Zr1 Zr 0.5000 0.5000 0.5000 1
# - polymorph energy (0 for the lowest one) (meV/atom) = 575

---

no.,D(E_F) (states/eV/cell),calculated total energy (eV/atom),formation energy (meV/atom)
1,25.19,-5.71,977.9
2,36.38,-2.22,2598.8
3,2.79,-3.81,1016.5